--- A ---
Computed, not measured: a relaxed structure of AgHg2H at the PBE level of DFT.

- SG: Fm-3m (225)
- D(E_F): 1.25 states/eV/cell

a = 4.750 Å, b = 4.750 Å, c = 4.750 Å
α = 60.00°, β = 60.00°, γ = 60.00°
Last column: magnetic moment on the atom in μB.
Fractional coordinates of all 4 atoms:
1 H 0.000 0.000 0.000  0.18
2 Hg 0.250 0.250 0.250  0.02
3 Hg 0.750 0.750 0.750  0.02
4 Ag 0.500 0.500 0.500  0.01

---

--- B ---
Computed, not measured: a relaxed structure of AgHg2H at the PBE level of DFT.

- SG: I-42d (122)
- D(E_F): 0.69 states/eV/cell

a = 6.587 Å, b = 6.587 Å, c = 5.800 Å
α = 55.40°, β = 55.40°, γ = 90.00°
Fractional coordinates of all 8 atoms:
1 H 0.500 0.500 0.000
2 H 0.250 0.750 0.500
3 Hg 0.546 0.125 0.250
4 Hg 0.204 0.625 0.250
5 Hg 0.375 0.454 0.750
6 Hg 0.875 0.796 0.750
7 Ag 0.000 0.000 0.000
8 Ag 0.750 0.250 0.500

---

Most stable pick: B. Distance to second place: 0.198 eV/atom.

---

--- A ---
Computed, not measured: a relaxed structure of Ag2HgH at the PBE level of DFT.

- SG: I-42d (122)
- D(E_F): 2.21 states/eV/cell

a = 6.100 Å, b = 6.100 Å, c = 5.630 Å
α = 57.20°, β = 57.20°, γ = 90.00°
Fractional coordinates of all 8 atoms:
1 H 0.500 0.500 0.000
2 H 0.250 0.750 0.500
3 Hg 0.000 0.000 0.000
4 Hg 0.750 0.250 0.500
5 Ag 0.487 0.125 0.250
6 Ag 0.263 0.625 0.250
7 Ag 0.375 0.513 0.750
8 Ag 0.875 0.737 0.750

---

--- B ---
Computed, not measured: a relaxed structure of Ag2HgH at the PBE level of DFT.

- SG: Fm-3m (225)
- D(E_F): 1.04 states/eV/cell

a = 4.630 Å, b = 4.630 Å, c = 4.630 Å
α = 60.00°, β = 60.00°, γ = 60.00°
Fractional coordinates of all 4 atoms:
1 H 0.000 0.000 0.000
2 Hg 0.500 0.500 0.500
3 Ag 0.250 0.250 0.250
4 Ag 0.750 0.750 0.750

---

--- C ---
Computed, not measured: a relaxed structure of Ag2HgH at the PBE level of DFT.

- SG: R-3m (166)
- D(E_F): 0.58 states/eV/cell

a = 3.101 Å, b = 3.101 Å, c = 7.615 Å
α = 78.25°, β = 78.25°, γ = 60.00°
Fractional coordinates of all 4 atoms:
1 H 0.000 0.000 0.000
2 Hg 0.500 0.500 0.500
3 Ag 0.723 0.723 0.831
4 Ag 0.277 0.277 0.169

---

Most stable pick: C. Distance to second place: 0.019 eV/atom.

---

--- A ---
Computed, not measured: a relaxed structure of Ag3HgH at the PBE level of DFT.

- SG: Pm-3m (221)
- D(E_F): 1.40 states/eV/cell

a = 4.279 Å, b = 4.279 Å, c = 4.279 Å
α = 90.00°, β = 90.00°, γ = 90.00°
Fractional coordinates of all 5 atoms:
1 H 0.000 0.000 0.000
2 Hg 0.500 0.500 0.500
3 Ag 0.000 0.500 0.000
4 Ag 0.000 0.000 0.500
5 Ag 0.500 0.000 0.000

---

--- B ---
Computed, not measured: a relaxed structure of Ag3HgH at the PBE level of DFT.

- SG: Pm-3m (221)
- D(E_F): 1.74 states/eV/cell

a = 5.356 Å, b = 5.356 Å, c = 5.356 Å
α = 90.00°, β = 90.00°, γ = 90.00°
Last column: magnetic moment on the atom in μB.
Fractional coordinates of all 5 atoms:
1 H 0.500 0.500 0.500  0.34
2 Hg 0.000 0.000 0.000  0.00
3 Ag 0.000 0.500 0.000  0.01
4 Ag 0.000 0.000 0.500  0.01
5 Ag 0.500 0.000 0.000  0.04

---

Most stable pick: A. Distance to second place: 0.899 eV/atom.